Entry 1:
CSe2S | GGA-PBE | optimized geometry

a = 6.873 Å, b = 6.873 Å, c = 6.873 Å
α = 37.55°, β = 37.55°, γ = 37.55°
Positions (direct):
1 S 0.500 0.500 0.500
2 C 0.000 0.000 0.000
3 Se 0.910 0.910 0.910
4 Se 0.090 0.090 0.090

Properties
- E_form (uncorrected) (meV per atom) = 967
- total magnetization (μB per atom) = 0.00
- density (g cm⁻³) = 3.10
- relative energy among the computed polymorphs (eV/atom) = 0.000
- space group = R-3m (166)

=====

Entry 2:
CSe2S | GGA-PBE | optimized geometry

a = 4.449 Å, b = 4.449 Å, c = 4.449 Å
α = 60.00°, β = 60.00°, γ = 60.00°
Positions (direct):
1 S 0.500 0.500 0.500
2 C 0.000 0.000 0.000
3 Se 0.250 0.250 0.250
4 Se 0.750 0.750 0.750

Properties
- E_form (uncorrected) (meV per atom) = 1856
- total magnetization (μB per atom) = 0.00
- density (g cm⁻³) = 5.39
- relative energy among the computed polymorphs (eV/atom) = 0.889
- space group = Fm-3m (225)

=====

Entry 3:
CSe3S | GGA-PBE | optimized geometry

a = 4.820 Å, b = 4.820 Å, c = 4.820 Å
α = 90.00°, β = 90.00°, γ = 90.00°
Site moments in Bohr magnetons follow the coordinates.
Positions (direct):
1 S 0.000 0.000 0.000  -0.02
2 C 0.500 0.500 0.500  0.63
3 Se 0.000 0.500 0.000  -0.10
4 Se 0.000 0.000 0.500  -0.18
5 Se 0.500 0.000 0.000  -0.13

Properties
- E_form (uncorrected) (meV per atom) = 1936
- total magnetization (μB per atom) = 0.12
- density (g cm⁻³) = 4.16
- relative energy among the computed polymorphs (eV/atom) = 0.604
- space group = Pm-3m (221)

=====

Entry 4:
CSe3S | GGA-PBE | optimized geometry

a = 4.417 Å, b = 4.417 Å, c = 4.417 Å
α = 90.00°, β = 90.00°, γ = 90.00°
Positions (direct):
1 S 0.500 0.500 0.500
2 C 0.000 0.000 0.000
3 Se 0.000 0.500 0.000
4 Se 0.000 0.000 0.500
5 Se 0.500 0.000 0.000

Properties
- E_form (uncorrected) (meV per atom) = 1332
- total magnetization (μB per atom) = 0.00
- density (g cm⁻³) = 5.41
- relative energy among the computed polymorphs (eV/atom) = 0.000
- space group = Pm-3m (221)

=====

Entry 5:
CSe2S | GGA-PBE | optimized geometry

a = 6.190 Å, b = 6.190 Å, c = 5.798 Å
α = 57.74°, β = 57.74°, γ = 90.00°
Positions (direct):
1 S 0.000 0.000 0.000
2 S 0.750 0.250 0.500
3 C 0.500 0.500 0.000
4 C 0.250 0.750 0.500
5 Se 0.548 0.125 0.250
6 Se 0.202 0.625 0.250
7 Se 0.375 0.452 0.750
8 Se 0.875 0.798 0.750

Properties
- E_form (uncorrected) (meV per atom) = 1121
- total magnetization (μB per atom) = 0.00
- density (g cm⁻³) = 4.60
- relative energy among the computed polymorphs (eV/atom) = 0.154
- space group = I-42d (122)

=====

Entry 6:
CSe2S | GGA-PBE | optimized geometry

a = 7.651 Å, b = 7.651 Å, c = 7.651 Å
α = 25.18°, β = 25.18°, γ = 25.18°
Positions (direct):
1 S 0.000 0.000 0.000
2 C 0.500 0.500 0.500
3 Se 0.895 0.895 0.895
4 Se 0.105 0.105 0.105

Properties
- E_form (uncorrected) (meV per atom) = 1326
- total magnetization (μB per atom) = 0.00
- density (g cm⁻³) = 4.70
- relative energy among the computed polymorphs (eV/atom) = 0.359
- space group = R-3m (166)

=====

Entry 7:
Sm8CSe3S3 | GGA-PBE | optimized geometry

a = 8.054 Å, b = 8.053 Å, c = 8.189 Å
α = 119.46°, β = 90.00°, γ = 120.00°
Positions (direct):
1 Sm 0.257 0.515 0.272
2 Sm 0.743 0.485 0.728
3 Sm 0.775 0.550 0.285
4 Sm 0.225 0.450 0.715
5 Sm 0.775 0.010 0.285
6 Sm 0.225 0.990 0.715
7 Sm 0.235 0.010 0.285
8 Sm 0.765 0.990 0.715
9 C 0.000 0.000 0.500
10 Se 0.000 0.000 0.000
11 Se 0.000 0.500 0.000
12 Se 0.500 0.500 0.000
13 S 0.500 0.000 0.500
14 S 0.500 0.500 0.500
15 S 0.000 0.500 0.500

Properties
- E_form (uncorrected) (meV per atom) = -1600
- total magnetization (μB per atom) = 0.00
- density (g cm⁻³) = 6.79
- space group = R-3m (166)

=====

Entry 8:
Sm8CSe4S3 | GGA-PBE | optimized geometry

a = 8.063 Å, b = 8.211 Å, c = 8.063 Å
α = 119.41°, β = 120.00°, γ = 90.00°
Positions (direct):
1 Sm 0.227 0.716 0.989
2 Sm 0.227 0.716 0.454
3 Sm 0.257 0.272 0.514
4 Sm 0.763 0.716 0.989
5 Sm 0.237 0.284 0.011
6 Sm 0.743 0.728 0.486
7 Sm 0.773 0.284 0.546
8 Sm 0.773 0.284 0.011
9 C 0.000 0.500 0.000
10 Se 0.500 0.000 0.000
11 Se 0.500 0.000 0.500
12 Se 0.000 0.000 0.000
13 Se 0.000 0.000 0.500
14 S 0.500 0.500 0.000
15 S 0.500 0.500 0.500
16 S 0.000 0.500 0.500

Properties
- E_form (uncorrected) (meV per atom) = -1746
- total magnetization (μB per atom) = 0.00
- density (g cm⁻³) = 7.09
- space group = R-3m (166)

=====

Entry 9:
Sm6C3SeS2 | GGA-PBE | optimized geometry

a = 3.842 Å, b = 7.958 Å, c = 8.836 Å
α = 105.72°, β = 102.56°, γ = 90.00°
Positions (direct):
1 Sm 0.323 0.935 0.647
2 Sm 0.660 0.603 0.319
3 Sm 0.677 0.065 0.353
4 Sm 0.992 0.275 0.983
5 Sm 0.008 0.725 0.017
6 Sm 0.340 0.397 0.681
7 C 0.500 0.500 0.000
8 C 0.833 0.168 0.665
9 C 0.167 0.832 0.335
10 Se 0.500 0.000 0.000
11 S 0.833 0.667 0.667
12 S 0.167 0.333 0.333

Properties
- E_form (uncorrected) (meV per atom) = -1127
- total magnetization (μB per atom) = 0.00
- density (g cm⁻³) = 7.09
- space group = C2/m (12)

=====

Entry 10:
Sm6C2Se3S | GGA-PBE | optimized geometry

a = 3.925 Å, b = 8.188 Å, c = 9.031 Å
α = 104.85°, β = 102.55°, γ = 90.00°
Positions (direct):
1 Sm 0.330 0.878 0.661
2 Sm 0.677 0.560 0.354
3 Sm 0.670 0.122 0.339
4 Sm 0.019 0.254 0.038
5 Sm 0.981 0.746 0.962
6 Sm 0.323 0.440 0.646
7 C 0.832 0.667 0.665
8 C 0.168 0.333 0.335
9 Se 0.500 0.500 0.000
10 Se 0.839 0.167 0.677
11 Se 0.161 0.833 0.323
12 S 0.500 0.000 0.000

Properties
- E_form (uncorrected) (meV per atom) = -1396
- total magnetization (μB per atom) = 0.00
- density (g cm⁻³) = 7.26
- space group = C2/m (12)

=====

Entry 11:
Sm8C3Se3S | GGA-PBE | optimized geometry

a = 7.798 Å, b = 7.798 Å, c = 8.021 Å
α = 119.08°, β = 90.00°, γ = 120.00°
Positions (direct):
1 Sm 0.264 0.528 0.292
2 Sm 0.736 0.472 0.708
3 Sm 0.749 0.499 0.283
4 Sm 0.251 0.501 0.717
5 Sm 0.749 0.033 0.283
6 Sm 0.251 0.967 0.717
7 Sm 0.284 0.033 0.283
8 Sm 0.716 0.967 0.717
9 C 0.500 0.000 0.500
10 C 0.500 0.500 0.500
11 C 0.000 0.500 0.500
12 Se 0.000 0.000 0.000
13 Se 0.000 0.500 0.000
14 Se 0.500 0.500 0.000
15 S 0.000 0.000 0.500

Properties
- E_form (uncorrected) (meV per atom) = -1130
- total magnetization (μB per atom) = 0.00
- density (g cm⁻³) = 7.16
- space group = R-3m (166)

=====

Entry 12:
Tb6CSe3S2 | GGA-PBE | optimized geometry

a = 6.816 Å, b = 6.816 Å, c = 6.995 Å
α = 99.32°, β = 99.32°, γ = 119.91°
Positions (direct):
1 Tb 0.929 0.621 0.785
2 Tb 0.766 0.766 0.219
3 Tb 0.071 0.379 0.215
4 Tb 0.621 0.929 0.785
5 Tb 0.234 0.234 0.781
6 Tb 0.379 0.071 0.215
7 C 0.000 0.000 0.000
8 Se 0.172 0.828 0.500
9 Se 0.828 0.172 0.500
10 Se 0.500 0.500 0.500
11 S 0.334 0.666 0.000
12 S 0.666 0.334 0.000

Properties
- E_form (uncorrected) (meV per atom) = -1698
- total magnetization (μB per atom) = 0.00
- density (g cm⁻³) = 7.89
- space group = C2/m (12)

=====

Entry 13:
Tb6C2SeS3 | GGA-PBE | optimized geometry

a = 3.816 Å, b = 7.891 Å, c = 8.657 Å
α = 103.00°, β = 102.73°, γ = 90.00°
Positions (direct):
1 Tb 0.326 0.876 0.653
2 Tb 0.676 0.565 0.351
3 Tb 0.674 0.124 0.347
4 Tb 0.018 0.271 0.036
5 Tb 0.982 0.729 0.964
6 Tb 0.324 0.435 0.649
7 C 0.831 0.664 0.662
8 C 0.169 0.336 0.338
9 Se 0.500 0.000 0.000
10 S 0.500 0.500 0.000
11 S 0.839 0.165 0.677
12 S 0.161 0.835 0.323

Properties
- E_form (uncorrected) (meV per atom) = -1500
- total magnetization (μB per atom) = 0.00
- density (g cm⁻³) = 7.74
- space group = C2/m (12)

=====

Entry 14:
Tb8CSe4S3 | GGA-PBE | optimized geometry

a = 7.901 Å, b = 8.052 Å, c = 7.901 Å
α = 119.39°, β = 120.00°, γ = 90.00°
Positions (direct):
1 Tb 0.226 0.715 0.989
2 Tb 0.226 0.715 0.452
3 Tb 0.258 0.273 0.515
4 Tb 0.763 0.715 0.989
5 Tb 0.237 0.285 0.011
6 Tb 0.742 0.727 0.485
7 Tb 0.774 0.285 0.548
8 Tb 0.774 0.285 0.011
9 C 0.000 0.500 0.000
10 Se 0.500 0.000 0.000
11 Se 0.500 0.000 0.500
12 Se 0.000 0.000 0.000
13 Se 0.000 0.000 0.500
14 S 0.500 0.500 0.000
15 S 0.500 0.500 0.500
16 S 0.000 0.500 0.500

Properties
- E_form (uncorrected) (meV per atom) = -1748
- total magnetization (μB per atom) = 0.00
- density (g cm⁻³) = 7.85
- space group = R-3m (166)

=====

Entry 15:
Tb8CSe3S3 | GGA-PBE | optimized geometry

a = 7.880 Å, b = 7.880 Å, c = 8.024 Å
α = 119.41°, β = 90.00°, γ = 120.00°
Positions (direct):
1 Tb 0.258 0.516 0.274
2 Tb 0.742 0.484 0.726
3 Tb 0.775 0.550 0.285
4 Tb 0.225 0.450 0.715
5 Tb 0.775 0.010 0.285
6 Tb 0.225 0.990 0.715
7 Tb 0.235 0.010 0.285
8 Tb 0.765 0.990 0.715
9 C 0.000 0.000 0.500
10 Se 0.000 0.000 0.000
11 Se 0.000 0.500 0.000
12 Se 0.500 0.500 0.000
13 S 0.500 0.000 0.500
14 S 0.500 0.500 0.500
15 S 0.000 0.500 0.500

Properties
- E_form (uncorrected) (meV per atom) = -1601
- total magnetization (μB per atom) = 0.00
- density (g cm⁻³) = 7.55
- space group = R-3m (166)

=====

Entry 16:
Tb6CSe2S3 | GGA-PBE | optimized geometry

a = 3.887 Å, b = 7.986 Å, c = 8.902 Å
α = 102.21°, β = 102.61°, γ = 90.00°
Positions (direct):
1 Tb 0.354 0.936 0.709
2 Tb 0.657 0.595 0.314
3 Tb 0.646 0.064 0.291
4 Tb 0.999 0.214 0.997
5 Tb 0.001 0.786 0.003
6 Tb 0.343 0.405 0.686
7 C 0.500 0.000 0.000
8 Se 0.830 0.663 0.660
9 Se 0.170 0.337 0.340
10 S 0.500 0.500 0.000
11 S 0.831 0.162 0.662
12 S 0.169 0.838 0.338

Properties
- E_form (uncorrected) (meV per atom) = -1707
- total magnetization (μB per atom) = 0.00
- density (g cm⁻³) = 7.69
- space group = C2/m (12)

=====

Entry 17:
Tb8C3Se3S | GGA-PBE | optimized geometry

a = 7.629 Å, b = 7.629 Å, c = 7.848 Å
α = 119.08°, β = 90.00°, γ = 120.00°
Positions (direct):
1 Tb 0.265 0.529 0.294
2 Tb 0.735 0.471 0.706
3 Tb 0.749 0.498 0.284
4 Tb 0.251 0.502 0.716
5 Tb 0.749 0.034 0.284
6 Tb 0.251 0.966 0.716
7 Tb 0.285 0.034 0.284
8 Tb 0.715 0.966 0.716
9 C 0.500 0.000 0.500
10 C 0.500 0.500 0.500
11 C 0.000 0.500 0.500
12 Se 0.000 0.000 0.000
13 Se 0.000 0.500 0.000
14 Se 0.500 0.500 0.000
15 S 0.000 0.000 0.500

Properties
- E_form (uncorrected) (meV per atom) = -1198
- total magnetization (μB per atom) = 0.00
- density (g cm⁻³) = 8.00
- space group = R-3m (166)

=====

Entry 18:
Tb6C2Se3S | GGA-PBE | optimized geometry

a = 3.842 Å, b = 8.021 Å, c = 8.848 Å
α = 104.85°, β = 102.54°, γ = 90.00°
Positions (direct):
1 Tb 0.330 0.876 0.660
2 Tb 0.678 0.558 0.355
3 Tb 0.670 0.124 0.340
4 Tb 0.020 0.254 0.040
5 Tb 0.980 0.746 0.960
6 Tb 0.322 0.442 0.645
7 C 0.832 0.667 0.664
8 C 0.168 0.333 0.336
9 Se 0.500 0.500 0.000
10 Se 0.839 0.166 0.678
11 Se 0.161 0.834 0.322
12 S 0.500 0.000 0.000

Properties
- E_form (uncorrected) (meV per atom) = -1444
- total magnetization (μB per atom) = 0.00
- density (g cm⁻³) = 8.06
- space group = C2/m (12)

=====

Entry 19:
Tb6C3Se2S | GGA-PBE | optimized geometry

a = 3.775 Å, b = 7.864 Å, c = 8.723 Å
α = 106.19°, β = 102.50°, γ = 90.00°
Positions (direct):
1 Tb 0.325 0.943 0.650
2 Tb 0.655 0.609 0.311
3 Tb 0.675 0.057 0.350
4 Tb 0.990 0.270 0.981
5 Tb 0.010 0.730 0.019
6 Tb 0.345 0.391 0.689
7 C 0.500 0.500 0.000
8 C 0.834 0.165 0.669
9 C 0.166 0.835 0.331
10 Se 0.833 0.666 0.666
11 Se 0.167 0.334 0.334
12 S 0.500 0.000 0.000

Properties
- E_form (uncorrected) (meV per atom) = -1180
- total magnetization (μB per atom) = 0.00
- density (g cm⁻³) = 8.08
- space group = C2/m (12)

=====

Entry 20:
Th6CSe3S2 | GGA-PBE | optimized geometry

a = 4.001 Å, b = 8.363 Å, c = 9.224 Å
α = 105.09°, β = 102.53°, γ = 90.00°
Positions (direct):
1 Th 0.349 0.914 0.697
2 Th 0.670 0.574 0.341
3 Th 0.651 0.086 0.303
4 Th 0.002 0.216 0.004
5 Th 0.998 0.784 0.996
6 Th 0.330 0.426 0.659
7 C 0.500 0.000 0.000
8 Se 0.500 0.500 0.000
9 Se 0.829 0.164 0.659
10 Se 0.171 0.836 0.341
11 S 0.835 0.668 0.670
12 S 0.165 0.332 0.330

Properties
- E_form (uncorrected) (meV per atom) = -1482
- total magnetization (μB per atom) = 0.00
- density (g cm⁻³) = 9.75
- space group = C2/m (12)

=====

Entry 21:
Th6C3Se2S | GGA-PBE | optimized geometry

a = 3.868 Å, b = 8.227 Å, c = 9.087 Å
α = 107.58°, β = 102.29°, γ = 90.00°
Positions (direct):
1 Th 0.324 0.945 0.649
2 Th 0.655 0.612 0.310
3 Th 0.676 0.055 0.351
4 Th 0.989 0.272 0.979
5 Th 0.011 0.728 0.021
6 Th 0.345 0.388 0.690
7 C 0.500 0.500 0.000
8 C 0.833 0.165 0.667
9 C 0.167 0.835 0.333
10 Se 0.833 0.666 0.666
11 Se 0.167 0.334 0.334
12 S 0.500 0.000 0.000

Properties
- E_form (uncorrected) (meV per atom) = -1118
- total magnetization (μB per atom) = 0.00
- density (g cm⁻³) = 10.00
- space group = C2/m (12)